1.
Computed, not measured: an optimized crystal structure of Hf5ReTc6 at the PBE level of DFT.

Results
Formation energy in eV/f.u.: -5.233
V in Å³/cell: 202.2

Lattice parameters (Å, degrees): 4.566 6.466 7.220 90.00 71.56 90.00
Positions (direct):
Tc1 0.838 0.245 0.324
Hf1 0.000 0.500 0.000
Re1 0.000 0.000 0.000
Tc2 0.838 0.755 0.324
Hf2 0.334 0.500 0.333
Tc3 0.500 0.759 0.000
Tc4 0.162 0.245 0.676
Hf3 0.666 0.500 0.667
Tc5 0.500 0.241 0.000
Hf4 0.666 0.000 0.668
Tc6 0.162 0.755 0.676
Hf5 0.334 0.000 0.332


2.
Computed, not measured: an optimized crystal structure of HfReTc3 at the PBE level of DFT.

Results
Formation energy in eV/f.u.: 11.358
Relative energy among the computed polymorphs in eV/f.u.: 5.34
V in Å³/cell: 97.7

Lattice parameters (Å, degrees): 4.606 4.606 4.606 90.00 90.00 90.00
Positions (direct):
Re1 0.500 0.500 0.500
Hf1 0.000 0.000 0.000
Tc1 0.000 0.000 0.500
Tc2 0.500 0.000 0.000
Tc3 0.000 0.500 0.000


3.
Computed, not measured: an optimized crystal structure of HfThReTc at the PBE level of DFT.

Results
Formation energy in eV/f.u.: -0.489
V in Å³/cell: 79.6

Lattice parameters (Å, degrees): 4.828 4.828 4.828 60.00 60.00 60.00
Positions (direct):
Hf1 0.000 0.000 0.000
Th1 0.500 0.500 0.500
Tc1 0.250 0.250 0.250
Re1 0.750 0.750 0.750


4.
Computed, not measured: an optimized crystal structure of HfUReTc at the PBE level of DFT.

Results
Formation energy in eV/f.u.: -0.436
V in Å³/cell: 73.9

Lattice parameters (Å, degrees): 4.711 4.711 4.711 60.00 60.00 60.00
Each line ends with the local moment (μB).
Positions (direct):
Tc1 0.500 0.500 0.500  -0.06
Hf1 0.750 0.750 0.750  0.07
U1 0.250 0.250 0.250  1.35
Re1 0.000 0.000 0.000  -0.06


5.
Computed, not measured: an optimized crystal structure of HfVReTc at the PBE level of DFT.

Results
Formation energy in eV/f.u.: -1.248
V in Å³/cell: 62.7

Lattice parameters (Å, degrees): 4.459 4.459 4.459 60.00 60.00 60.00
Positions (direct):
Hf1 0.250 0.250 0.250
Tc1 0.500 0.500 0.500
V1 0.750 0.750 0.750
Re1 0.000 0.000 0.000


6.
Computed, not measured: an optimized crystal structure of HfZrRe2Tc at the PBE level of DFT.

Results
Formation energy in eV/f.u.: 5.782
V in Å³/cell: 106.4

Lattice parameters (Å, degrees): 4.731 4.751 4.731 90.00 90.00 90.00
Positions (direct):
Hf1 0.500 0.500 0.500
Zr1 0.000 0.500 0.000
Re1 0.000 0.000 0.500
Re2 0.500 0.000 0.000
Tc1 0.000 0.000 0.000


7.
Computed, not measured: an optimized crystal structure of HfZrReTc at the PBE level of DFT.

Results
Formation energy in eV/f.u.: -1.355
V in Å³/cell: 71.0

Lattice parameters (Å, degrees): 4.649 4.649 4.649 60.00 60.00 60.00
Positions (direct):
Zr1 0.250 0.250 0.250
Re1 0.000 0.000 0.000
Hf1 0.750 0.750 0.750
Tc1 0.500 0.500 0.500


8.
Computed, not measured: an optimized crystal structure of HfReTe3 at the PBE level of DFT.

Results
Formation energy without anion corrections in eV per atom: 0.937
Relative energy among the computed polymorphs in eV/f.u.: 0.00
V in Å³/cell: 141.9

Lattice parameters (Å, degrees): 5.216 5.216 5.216 90.00 90.00 90.00
Each line ends with the local moment (μB).
Positions (direct):
Re1 0.000 0.000 0.000  0.78
Te1 0.000 0.000 0.500  -0.02
Hf1 0.500 0.500 0.500  0.47
Te2 0.500 0.000 0.000  0.01
Te3 0.000 0.500 0.000  -0.03


9.
Computed, not measured: an optimized crystal structure of HfTi2ReTe at the PBE level of DFT.

Results
Formation energy without anion corrections in eV per atom: 0.806
V in Å³/cell: 114.4

Lattice parameters (Å, degrees): 4.757 5.055 4.757 90.00 90.00 90.00
Positions (direct):
Re1 0.000 0.000 0.000
Ti1 0.000 0.000 0.500
Hf1 0.500 0.500 0.500
Ti2 0.500 0.000 0.000
Te1 0.000 0.500 0.000


10.
Computed, not measured: an optimized crystal structure of HfV2ReTe at the PBE level of DFT.

Results
Formation energy without anion corrections in eV per atom: 1.401
V in Å³/cell: 107.0

Lattice parameters (Å, degrees): 4.683 4.878 4.683 90.00 90.00 90.00
Each line ends with the local moment (μB).
Positions (direct):
V1 0.000 0.000 0.500  0.91
Re1 0.000 0.500 0.000  0.04
V2 0.500 0.000 0.000  0.71
Te1 0.000 0.000 0.000  -0.02
Hf1 0.500 0.500 0.500  -0.01


11.
Computed, not measured: an optimized crystal structure of YHfRe2Te at the PBE level of DFT.

Results
Formation energy without anion corrections in eV per atom: 2.364
V in Å³/cell: 124.4

Lattice parameters (Å, degrees): 4.882 5.221 4.882 90.00 90.00 90.00
Each line ends with the local moment (μB).
Positions (direct):
Re1 0.000 0.000 0.500  0.58
Y1 0.000 0.000 0.000  -0.02
Re2 0.500 0.000 0.000  0.58
Hf1 0.000 0.500 0.000  -0.01
Te1 0.500 0.500 0.500  -0.03


12.
Computed, not measured: an optimized crystal structure of HfThRe at the PBE level of DFT.

Results
Formation energy in eV/f.u.: 0.050
Relative energy among the computed polymorphs in eV/f.u.: 0.34
V in Å³/cell: 69.5

Lattice parameters (Å, degrees): 3.372 3.372 6.558 104.90 104.90 90.00
Positions (direct):
Hf1 0.299 0.299 0.598
Re1 0.680 0.680 0.359
Th1 0.022 0.022 0.043


13.
Computed, not measured: an optimized crystal structure of HfThRe at the PBE level of DFT.

Results
Formation energy in eV/f.u.: -0.292
Relative energy among the computed polymorphs in eV/f.u.: 0.00
V in Å³/cell: 415.3

Lattice parameters (Å, degrees): 7.479 8.615 8.615 59.81 64.27 64.27
Positions (direct):
Th1 0.256 0.465 0.965
Th2 0.257 0.965 0.465
Re1 0.923 0.834 0.833
Re2 0.590 0.166 0.167
Hf1 0.257 0.379 0.380
Re3 0.257 0.750 0.250
Th3 0.686 0.535 0.035
Th4 0.686 0.035 0.535
Hf2 0.498 0.500 0.500
Hf3 0.016 0.621 0.620
Th5 0.827 0.250 0.750
Re4 0.923 0.333 0.334
Hf4 0.016 0.120 0.121
Hf5 0.498 0.000 0.000
Re5 0.590 0.667 0.666
Th6 0.828 0.750 0.250
Re6 0.257 0.250 0.750
Hf6 0.257 0.880 0.879


14.
Computed, not measured: an optimized crystal structure of Hf2ThRe at the PBE level of DFT.

Results
Formation energy in eV/f.u.: -0.590
V in Å³/cell: 89.9

Lattice parameters (Å, degrees): 3.323 3.323 8.141 90.00 90.00 90.00
Positions (direct):
Hf1 0.000 0.000 0.191
Th1 0.500 0.500 0.500
Re1 0.500 0.500 0.000
Hf2 0.000 0.000 0.809


15.
Computed, not measured: an optimized crystal structure of Hf2Ti2Re at the PBE level of DFT.

Results
Formation energy in eV/f.u.: 0.209
Relative energy among the computed polymorphs in eV/f.u.: 0.00
V in Å³/cell: 192.9

Lattice parameters (Å, degrees): 5.705 5.734 7.934 111.18 124.28 90.00
Positions (direct):
Hf1 0.667 0.244 0.227
Ti1 0.225 0.210 0.657
Ti2 0.725 0.447 0.657
Re1 0.750 0.453 0.000
Ti3 0.275 0.553 0.343
Ti4 0.775 0.790 0.343
Hf2 0.333 0.756 0.773
Hf3 0.833 0.016 0.773
Re2 0.250 0.547 0.000
Hf4 0.167 0.984 0.227


16.
Computed, not measured: an optimized crystal structure of HfTi3Re at the PBE level of DFT.

Results
Formation energy in eV/f.u.: 2.906
Relative energy among the computed polymorphs in eV/f.u.: 2.85
V in Å³/cell: 105.7

Lattice parameters (Å, degrees): 4.727 4.727 4.727 90.00 90.00 90.00
Positions (direct):
Ti1 0.000 0.000 0.500
Re1 0.000 0.000 0.000
Ti2 0.500 0.000 0.000
Hf1 0.500 0.500 0.500
Ti3 0.000 0.500 0.000


17.
Computed, not measured: an optimized crystal structure of HfTi3Re at the PBE level of DFT.

Results
Formation energy in eV/f.u.: 0.055
Relative energy among the computed polymorphs in eV/f.u.: 0.00
V in Å³/cell: 182.8

Lattice parameters (Å, degrees): 5.242 5.704 6.745 115.02 90.00 90.00
Positions (direct):
Ti1 0.750 0.181 0.363
Re1 0.500 0.000 0.000
Re2 0.000 0.000 0.000
Ti2 0.250 0.393 0.292
Ti3 0.750 0.607 0.708
Hf1 0.250 0.416 0.833
Ti4 0.750 0.101 0.708
Ti5 0.250 0.819 0.637
Hf2 0.750 0.584 0.167
Ti6 0.250 0.899 0.292


18.
Computed, not measured: an optimized crystal structure of HfTi5Re4 at the PBE level of DFT.

Results
Formation energy in eV/f.u.: -3.066
V in Å³/cell: 160.4

Lattice parameters (Å, degrees): 3.144 3.144 16.222 90.00 90.00 90.00
Positions (direct):
Re1 0.000 0.000 0.212
Ti1 0.500 0.500 0.500
Ti2 0.500 0.500 0.124
Ti3 0.500 0.500 0.690
Re2 0.000 0.000 0.788
Re3 0.000 0.000 0.405
Ti4 0.500 0.500 0.310
Hf1 0.000 0.000 0.000
Ti5 0.500 0.500 0.876
Re4 0.000 0.000 0.595


19.
Computed, not measured: an optimized crystal structure of HfTiRe at the PBE level of DFT.

Results
Formation energy in eV/f.u.: -0.248
Relative energy among the computed polymorphs in eV/f.u.: 0.82
V in Å³/cell: 113.2

Lattice parameters (Å, degrees): 5.150 5.150 5.423 107.59 107.59 111.31
Positions (direct):
Hf1 0.319 0.681 0.000
Re1 0.250 0.750 0.500
Re2 0.750 0.250 0.500
Hf2 0.681 0.319 0.000
Ti1 0.825 0.825 0.649
Ti2 0.175 0.175 0.351


20.
Computed, not measured: an optimized crystal structure of Hf2Ti2Re at the PBE level of DFT.

Results
Formation energy in eV/f.u.: 2.030
Relative energy among the computed polymorphs in eV/f.u.: 1.82
V in Å³/cell: 98.5

Lattice parameters (Å, degrees): 3.390 3.390 8.900 79.02 79.02 90.00
Positions (direct):
Ti1 0.250 0.750 0.500
Ti2 0.750 0.250 0.500
Hf1 0.589 0.589 0.822
Re1 0.000 0.000 0.000
Hf2 0.411 0.411 0.178


no.,calculated density (g/cm3),E (eV/atom)
1,13.7,-10.804
2,11.2,-8.428
3,14.5,-10.169
4,15.7,-11.123
5,13.6,-10.784
6,11.6,-9.596
7,12.9,-10.668
8,8.7,-5.428
9,8.5,-7.461
10,9.2,-7.355
11,10.2,-6.527
12,14.3,-9.924
13,14.3,-10.038
14,14.3,-10.091
15,11.0,-9.587
16,8.0,-8.636
17,9.2,-9.206
18,12.0,-10.229
19,12.1,-10.182
20,10.8,-9.223